Li3InCu | GGA-PBEsol | relaxed

* space group: Pm-3m (221)
* magnetization: 0.00 μB/f.u.
* ΔE_f: 14.8 kJ/mol of atoms

```
Li3InCu
1.0
4.5655 0.0000 0.0000
0.0000 4.5655 0.0000
0.0000 0.0000 4.5655
Li Cu In
3 1 1
Direct
0.0000 0.5000 0.0000
0.0000 0.0000 0.5000
0.5000 0.0000 0.0000
0.0000 0.0000 0.0000
0.5000 0.5000 0.5000
```

=====

KIr2Os | GGA-PBEsol | relaxed

* space group: Pmmm (47)
* ΔE to the lowest computed polymorph: 0.7145 eV/atom
* magnetization: 0.95 μB/f.u.
* ΔE_f: 136.1 kJ/mol of atoms

```
KIr2Os
1.0
-1.3989 2.1440 0.7109
-3.1089 -0.8081 -3.6805
-2.8323 -2.8485 3.0179
Ir K Os
2 1 1
Direct
0.0000 0.0000 0.0000
0.5000 0.0000 0.5000
0.5000 0.5000 0.0000
0.0000 0.5000 0.5000
```

=====

Te3MoCl16 | GGA-PBEsol | relaxed

* space group: Cmc2_1 (36)
* magnetization: 2.00 μB/f.u.
* uncorrected formation energy: -12.9 eV/f.u.

```
Te3MoCl16
1.0
-9.0059 -2.0048 -4.1403
6.2116 -3.9662 -6.9247
-0.3068 -10.6472 5.8231
Te Mo Cl
6 2 32
Direct
0.2638 0.5417 0.0033
0.7362 0.4583 0.5033
0.4583 0.7362 0.5033
0.5417 0.2638 0.0033
0.1382 0.1382 0.2687
0.8618 0.8618 0.7687
0.6707 0.6707 0.0246
0.3293 0.3293 0.5246
0.2465 0.7367 0.9033
0.7535 0.2633 0.4033
0.2633 0.7535 0.4033
0.7367 0.2465 0.9033
0.1061 0.5716 0.1375
0.8939 0.4284 0.6375
0.4284 0.8939 0.6375
0.5716 0.1061 0.1375
0.1140 0.3971 0.8866
0.8860 0.6029 0.3866
0.6029 0.8860 0.3866
0.3971 0.1140 0.8866
0.0026 0.0026 0.3974
0.9974 0.9974 0.8974
0.9532 0.1806 0.1647
0.0468 0.8194 0.6647
0.8194 0.0468 0.6647
0.1806 0.9532 0.1647
0.8542 0.6401 0.9123
0.1458 0.3599 0.4123
0.3599 0.1458 0.4123
0.6401 0.8542 0.9123
0.8026 0.8026 0.1458
0.1974 0.1974 0.6458
0.4730 0.6916 0.1266
0.5270 0.3084 0.6266
0.3084 0.5270 0.6266
0.6916 0.4730 0.1266
0.5227 0.5227 0.8958
0.4773 0.4773 0.3958
0.3147 0.3147 0.1226
0.6853 0.6853 0.6226
```